{"formula": "Tl3PSe4", "functional": "GGA-PBE", "state": "optimized geometry", "e_tot_ev_per_atom": -3.6491, "spacegroup": "No. 62", "e_form_raw_kj_per_mol_fu": -265, "relative_energy_mev_per_atom": 0, "lattice": [[9.334, 0.000, 0.000], [0.000, 11.239, 0.000], [0.000, 0.000, 9.561]], "species": ["Tl", "Tl", "Tl", "Tl", "Tl", "Tl", "Tl", "Tl", "Tl", "Tl", "Tl", "Tl", "P", "P", "P", "P", "Se", "Se", "Se", "Se", "Se", "Se", "Se", "Se", "Se", "Se", "Se", "Se", "Se", "Se", "Se", "Se"], "fractional_positions": [[0.065, 0.052, 0.194], [0.065, 0.448, 0.194], [0.105, 0.750, 0.391], [0.395, 0.250, 0.891], [0.435, 0.552, 0.694], [0.435, 0.948, 0.694], [0.565, 0.052, 0.306], [0.565, 0.448, 0.306], [0.605, 0.750, 0.109], [0.895, 0.250, 0.609], [0.935, 0.552, 0.806], [0.935, 0.948, 0.806], [0.221, 0.750, 0.973], [0.279, 0.250, 0.473], [0.721, 0.750, 0.527], [0.779, 0.250, 0.027], [0.003, 0.750, 0.068], [0.157, 0.087, 0.532], [0.157, 0.413, 0.532], [0.192, 0.750, 0.738], [0.308, 0.250, 0.238], [0.343, 0.587, 0.032], [0.343, 0.913, 0.032], [0.497, 0.250, 0.568], [0.503, 0.750, 0.432], [0.657, 0.087, 0.968], [0.657, 0.413, 0.968], [0.692, 0.750, 0.762], [0.808, 0.250, 0.262], [0.843, 0.587, 0.468], [0.843, 0.913, 0.468], [0.997, 0.250, 0.932]]}